Entry from the Alexandria database: a geometry-optimized KLaCl structure (PBE-GGA).

Geometry as POSCAR:
```
KLaCl
1.0
-0.726 -1.507 3.509
3.517 1.446 -0.804
-2.406 7.327 2.649
K Cl La
1 1 1
Direct
0.333 0.667 0.272
0.000 0.000 0.993
0.667 0.333 0.736
```

Values from the calculation:
- excess energy over the best structure of this formula in the dataset (eV/f.u.) = 0.00
- magnetic moment (μB/cell) = 0.51
- ΔE_f (raw) (eV/atom) = -0.940